# 1
The following is a PBE-GGA calculation of a relaxed NbNiRh2 crystal, from Alexandria.

Results
**Crystal system**: tetragonal
**Magnetization**: 0.00 μB per cell
**Volume**: 15.6 Å³ per atom
**Energy relative to the elements**: 0.088 eV/atom
**Energy**: -7.55 eV/atom

```
16
Lattice="3.785 0.000 0.000 0.000 3.785 0.000 0.000 0.000 17.419" Properties=species:S:1:pos:R:3 pbc="T T T"
Nb 0.000 0.000 0.000
Nb 0.000 1.893 4.355
Nb 1.893 0.000 13.064
Nb 1.893 1.893 8.709
Ni 0.000 0.000 8.709
Ni 0.000 1.893 13.064
Ni 1.893 0.000 4.355
Ni 1.893 1.893 0.000
Rh 0.846 0.946 10.887
Rh 0.946 2.738 15.241
Rh 0.946 2.940 6.532
Rh 1.047 0.946 2.177
Rh 2.738 2.839 2.177
Rh 2.839 0.846 6.532
Rh 2.839 1.047 15.241
Rh 2.940 2.839 10.887
```

# 2
The following is a PBE-GGA calculation of a relaxed Nd8CoGe2 crystal, from Alexandria.

Results
**Crystal system**: monoclinic
**Magnetization**: 0.00 μB per cell
**Volume**: 29.1 Å³ per atom
**Energy relative to the elements**: -0.293 eV/atom
**Energy**: -5.25 eV/atom

```
11
Lattice="9.340 -2.284 0.000 9.340 2.284 0.000 -1.134 0.000 7.492" Properties=species:S:1:pos:R:3 pbc="T T T"
Nd -0.185 0.000 2.135
Nd 3.089 0.000 6.336
Nd 5.988 0.000 3.655
Nd 6.415 0.000 7.398
Nd 11.132 0.000 0.095
Nd 11.559 0.000 3.837
Nd 14.457 0.000 1.156
Nd 17.731 0.000 5.358
Co 8.773 0.000 3.746
Ge 3.105 0.000 1.913
Ge 14.442 0.000 5.580
```

# 3
The following is a PBE-GGA calculation of a relaxed LiLa3Sm2S6 crystal, from Alexandria.

Results
**Raw formation energy**: -24.19 eV per formula unit
**Crystal system**: monoclinic
**Magnetization**: 0.00 μB per cell
**Volume**: 23.7 Å³ per atom
**Energy**: -6.26 eV/atom

```
12
Lattice="3.517 -6.108 0.000 3.517 6.108 0.000 -2.359 0.000 6.611" Properties=species:S:1:pos:R:3 pbc="T T T"
Li 0.000 0.000 0.000
La 2.337 4.076 3.306
La 2.337 0.000 3.306
La 2.337 -4.076 3.306
Sm 3.517 2.029 0.000
Sm 3.517 -2.029 0.000
S 1.142 1.993 1.559
S -0.070 0.000 5.062
S 1.142 -1.993 1.559
S 3.533 1.993 5.052
S 4.745 0.000 1.549
S 3.533 -1.993 5.052
```

# 4
The following is a PBE-GGA calculation of a relaxed NbNiSn crystal, from Alexandria.

Results
**Crystal system**: triclinic
**Magnetization**: 0.00 μB per cell
**Volume**: 17.0 Å³ per atom
**Energy relative to the elements**: -0.103 eV/atom
**Energy**: -6.72 eV/atom

```
6
Lattice="4.239 0.000 0.000 1.634 4.832 0.000 2.113 1.476 4.970" Properties=species:S:1:pos:R:3 pbc="T T T"
Nb 1.878 1.740 1.988
Nb 6.107 4.568 2.982
Ni 4.063 5.169 4.439
Ni 3.922 1.139 0.531
Sn 3.931 2.573 3.923
Sn 4.054 3.735 1.047
```

# 5
The following is a PBE-GGA calculation of a relaxed BaScGe2 crystal, from Alexandria.

Results
**Crystal system**: tetragonal
**Magnetization**: 0.00 μB per cell
**Volume**: 33.7 Å³ per atom
**Energy relative to the elements**: -0.268 eV/atom
**Energy**: -4.64 eV/atom

```
16
Lattice="5.498 0.000 0.000 0.000 5.498 0.000 0.000 0.000 17.856" Properties=species:S:1:pos:R:3 pbc="T T T"
Ba 0.000 0.000 0.000
Ba 0.000 2.749 4.464
Ba 2.749 0.000 13.392
Ba 2.749 2.749 8.928
Sc 0.000 0.000 8.928
Sc 0.000 2.749 13.392
Sc 2.749 0.000 4.464
Sc 2.749 2.749 0.000
Ge 0.372 1.375 11.160
Ge 1.375 3.121 15.624
Ge 1.375 5.127 6.696
Ge 2.378 1.375 2.232
Ge 3.121 4.124 2.232
Ge 4.124 0.372 6.696
Ge 4.124 2.378 15.624
Ge 5.127 4.124 11.160
```

# 6
The following is a PBE-GGA calculation of a relaxed NdHo3N crystal, from Alexandria.

Results
**Raw formation energy**: -2.51 eV per formula unit
**Crystal system**: cubic
**Magnetization**: 0.43 μB per cell
**Volume**: 24.4 Å³ per atom
**Energy**: -5.87 eV/atom

```
5
Lattice="4.962 0.000 0.000 0.000 4.962 0.000 0.000 0.000 4.962" Properties=species:S:1:pos:R:3 pbc="T T T"
Nd 0.000 0.000 0.000
Ho 0.000 2.481 2.481
Ho 2.481 0.000 2.481
Ho 2.481 2.481 0.000
N 2.481 2.481 2.481
```

# 7
The following is a PBE-GGA calculation of a relaxed PuScBi2 crystal, from Alexandria.

Results
**Crystal system**: tetragonal
**Magnetization**: 6.56 μB per cell
**Volume**: 27.3 Å³ per atom
**Energy relative to the elements**: -0.368 eV/atom
**Energy**: -7.47 eV/atom

```
4
Lattice="5.088 0.000 0.000 0.000 5.088 0.000 0.000 0.000 4.224" Properties=species:S:1:pos:R:3 pbc="T T T"
Pu 0.000 0.000 0.000
Sc 2.544 2.544 0.000
Bi 0.000 2.544 2.112
Bi 2.544 0.000 2.112
```

# 8
The following is a PBE-GGA calculation of a relaxed SrSmHg crystal, from Alexandria.

Results
**Crystal system**: trigonal
**Magnetization**: 0.00 μB per cell
**Volume**: 35.0 Å³ per atom
**Energy relative to the elements**: -0.157 eV/atom
**Energy**: -2.39 eV/atom

```
3
Lattice="5.338 0.000 0.000 -2.669 4.623 0.000 0.000 0.000 4.252" Properties=species:S:1:pos:R:3 pbc="T T T"
Sr 0.000 0.000 0.000
Sm 0.000 3.082 2.169
Hg 2.669 1.541 1.936
```

# 9
The following is a PBE-GGA calculation of a relaxed Li2BeInGe crystal, from Alexandria.

Results
**Crystal system**: tetragonal
**Magnetization**: 0.00 μB per cell
**Volume**: 19.2 Å³ per atom
**Energy relative to the elements**: 0.093 eV/atom
**Energy**: -2.89 eV/atom

```
5
Lattice="4.850 0.000 0.000 0.000 4.850 0.000 0.000 0.000 4.080" Properties=species:S:1:pos:R:3 pbc="T T T"
Li 0.000 2.425 0.000
Li 2.425 0.000 0.000
Be 0.000 0.000 0.000
In 2.425 2.425 2.040
Ge 0.000 0.000 2.040
```

# 10
The following is a PBE-GGA calculation of a relaxed GaBrNF2 crystal, from Alexandria.

Results
**Raw formation energy**: -2.63 eV per formula unit
**Crystal system**: tetragonal
**Magnetization**: 0.00 μB per cell
**Volume**: 12.9 Å³ per atom
**Energy**: -3.88 eV/atom

```
5
Lattice="3.776 0.000 0.000 0.000 3.776 0.000 0.000 0.000 4.514" Properties=species:S:1:pos:R:3 pbc="T T T"
Ga 0.000 0.000 0.000
Br 1.888 1.888 2.257
N 0.000 0.000 2.257
F 0.000 1.888 0.000
F 1.888 0.000 0.000
```

# 11
The following is a PBE-GGA calculation of a relaxed Dy2Zn3Sn3 crystal, from Alexandria.

Results
**Crystal system**: orthorhombic
**Magnetization**: 0.00 μB per cell
**Volume**: 22.2 Å³ per atom
**Energy relative to the elements**: -0.408 eV/atom
**Energy**: -3.54 eV/atom

```
8
Lattice="4.468 0.000 0.000 0.000 4.510 0.000 0.000 0.000 8.799" Properties=species:S:1:pos:R:3 pbc="T T T"
Dy 0.000 0.000 2.181
Dy 0.000 0.000 6.619
Zn 0.000 2.255 0.000
Zn 2.234 2.255 2.005
Zn 2.234 2.255 6.794
Sn 0.000 2.255 4.400
Sn 2.234 0.000 0.000
Sn 2.234 0.000 4.400
```

# 12
The following is a PBE-GGA calculation of a relaxed LaMgI5 crystal, from Alexandria.

Results
**Raw formation energy**: -9.16 eV per formula unit
**Crystal system**: orthorhombic
**Magnetization**: 0.00 μB per cell
**Volume**: 43.5 Å³ per atom
**Energy**: -3.35 eV/atom

```
14
Lattice="2.179 -8.001 0.000 2.179 8.001 0.000 0.000 0.000 17.463" Properties=species:S:1:pos:R:3 pbc="T T T"
La 2.179 7.753 13.097
La 2.179 -7.753 4.366
Mg 2.179 0.000 0.000
Mg 2.179 0.000 8.731
I 2.179 6.366 9.881
I 2.179 6.366 16.313
I 2.179 2.541 4.366
I 2.179 1.500 11.252
I 2.179 1.500 14.943
I 2.179 -1.500 2.520
I 2.179 -1.500 6.211
I 2.179 -2.541 13.097
I 2.179 -6.366 1.150
I 2.179 -6.366 7.581
```